Entry 1
The following is a DFT calculation (PBE) of crystalline Ho3Er4In at its relaxed geometry.

abc: 3.580 5.149 13.856
angles: 91.56 97.42 90.00
Fractional coordinates of all 8 atoms:
1 Ho 0.845 0.765 0.691
2 In 0.500 0.000 0.000
3 Er 0.718 0.746 0.436
4 Er 0.598 0.722 0.196
5 Er 0.402 0.278 0.804
6 Ho 0.000 0.500 0.000
7 Er 0.282 0.254 0.564
8 Ho 0.155 0.235 0.309

Values from the calculation:
Theoretical density = 8.4 g/cm3
Crystal system = monoclinic

Entry 2
The following is a DFT calculation (PBE) of crystalline Ho3Er4In at its relaxed geometry.

abc: 6.109 6.959 11.102
angles: 90.00 90.00 90.00
Fractional coordinates of all 16 atoms:
1 Er 0.513 0.874 0.740
2 Er 0.864 0.870 0.500
3 Ho 0.033 0.617 0.757
4 In 0.354 0.624 0.500
5 Ho 0.838 0.873 0.000
6 Er 0.513 0.874 0.260
7 Er 0.367 0.629 0.000
8 Er 0.013 0.126 0.240
9 Er 0.867 0.371 0.500
10 Ho 0.033 0.617 0.243
11 Ho 0.533 0.383 0.257
12 Er 0.013 0.126 0.760
13 In 0.854 0.376 0.000
14 Ho 0.533 0.383 0.743
15 Ho 0.338 0.127 0.500
16 Er 0.364 0.130 0.000

Values from the calculation:
Theoretical density = 9.0 g/cm3
Crystal system = orthorhombic

We find entry 2 to be the most stable, with the next structure 18.4 kJ/mol of atoms higher.

Entry 1
The following is a DFT calculation (PBE) of crystalline Ho2Er3In at its relaxed geometry.

abc: 4.833 4.829 7.838
angles: 107.94 90.00 90.00
Fractional coordinates of all 6 atoms:
1 Er 0.500 0.832 0.663
2 In 0.000 0.000 0.000
3 Ho 0.000 0.662 0.324
4 Er 0.500 0.500 0.000
5 Er 0.500 0.168 0.337
6 Ho 0.000 0.338 0.676

Values from the calculation:
Theoretical density = 9.0 g/cm3
Crystal system = orthorhombic

Entry 2
The following is a DFT calculation (PBE) of crystalline Ho2Er3In at its relaxed geometry.

abc: 3.348 11.488 7.750
angles: 137.82 102.47 90.00
Fractional coordinates of all 6 atoms:
1 Er 0.661 0.652 0.323
2 Er 0.339 0.330 0.677
3 Er 0.000 0.020 0.000
4 Ho 0.828 0.570 0.656
5 Ho 0.172 0.914 0.344
6 In 0.500 0.257 0.000

Values from the calculation:
Theoretical density = 8.3 g/cm3
Crystal system = orthorhombic

We find entry 1 to be the most stable, with the next structure 43.7 kJ/mol of atoms higher.

Entry 1
The following is a DFT calculation (PBE) of crystalline Ho8Er6In at its relaxed geometry.

abc: 8.901 8.901 8.421
angles: 58.10 58.10 60.00
Fractional coordinates of all 15 atoms:
1 Ho 0.748 0.715 0.428
2 Ho 0.424 0.424 0.728
3 Er 0.894 0.769 0.887
4 Er 0.231 0.549 0.113
5 Er 0.549 0.106 0.113
6 Ho 0.892 0.252 0.572
7 Er 0.106 0.231 0.113
8 Er 0.451 0.894 0.887
9 Ho 0.108 0.748 0.428
10 Ho 0.576 0.576 0.272
11 Ho 0.285 0.892 0.572
12 Ho 0.252 0.285 0.572
13 In 0.000 0.000 0.000
14 Er 0.769 0.451 0.887
15 Ho 0.715 0.108 0.428

Values from the calculation:
Theoretical density = 8.8 g/cm3
Crystal system = trigonal

Entry 2
The following is a DFT calculation (PBE) of crystalline Ho8Er6In at its relaxed geometry.

abc: 6.665 9.077 9.077
angles: 120.00 90.00 90.00
Fractional coordinates of all 15 atoms:
1 Er 0.394 0.078 0.398
2 Ho 0.115 0.677 0.988
3 Ho 0.885 0.323 0.012
4 Ho 0.187 0.667 0.333
5 In 0.500 0.000 0.000
6 Er 0.606 0.398 0.320
7 Ho 0.115 0.311 0.323
8 Er 0.394 0.320 0.922
9 Er 0.394 0.602 0.680
10 Ho 0.885 0.689 0.677
11 Ho 0.813 0.333 0.667
12 Ho 0.885 0.988 0.311
13 Ho 0.115 0.012 0.689
14 Er 0.606 0.922 0.602
15 Er 0.606 0.680 0.078

Values from the calculation:
Theoretical density = 8.5 g/cm3
Crystal system = trigonal

We find entry 1 to be the most stable, with the next structure 16.4 kJ/mol of atoms higher.

Entry 1
The following is a DFT calculation (PBE) of crystalline HoEr4In3 at its relaxed geometry.

abc: 3.474 8.773 8.868
angles: 119.64 101.30 90.00
Fractional coordinates of all 8 atoms:
1 Ho 0.500 0.000 0.000
2 In 0.184 0.184 0.369
3 Er 0.360 0.161 0.720
4 Er 0.640 0.839 0.280
5 Er 0.640 0.442 0.280
6 In 0.000 0.500 0.000
7 In 0.816 0.816 0.631
8 Er 0.360 0.558 0.720

Values from the calculation:
Theoretical density = 8.5 g/cm3
Crystal system = orthorhombic

Entry 2
The following is a DFT calculation (PBE) of crystalline HoEr4In3 at its relaxed geometry.

abc: 5.299 5.299 9.607
angles: 73.99 73.99 60.00
Fractional coordinates of all 8 atoms:
1 In 0.734 0.734 0.797
2 Er 0.871 0.871 0.386
3 Er 0.388 0.388 0.837
4 Er 0.129 0.129 0.614
5 In 0.266 0.266 0.203
6 In 0.500 0.500 0.500
7 Ho 0.000 0.000 0.000
8 Er 0.612 0.612 0.163

Values from the calculation:
Theoretical density = 8.8 g/cm3
Crystal system = trigonal

We find entry 2 to be the most stable, with the next structure 10.2 kJ/mol of atoms higher.

Entry 1
The following is a DFT calculation (PBE) of crystalline Ho3ErIn2 at its relaxed geometry.

abc: 5.143 6.688 9.775
angles: 90.00 90.00 90.00
Fractional coordinates of all 12 atoms:
1 Ho 0.500 0.683 0.183
2 Ho 0.000 0.817 0.682
3 Ho 0.500 0.183 0.817
4 Ho 0.000 0.963 0.037
5 In 0.000 0.792 0.359
6 Ho 0.000 0.317 0.318
7 In 0.500 0.709 0.859
8 In 0.500 0.209 0.141
9 Ho 0.000 0.463 0.963
10 In 0.000 0.292 0.641
11 Er 0.500 0.037 0.463
12 Er 0.500 0.537 0.537

Values from the calculation:
Theoretical density = 8.8 g/cm3
Crystal system = orthorhombic

Entry 2
The following is a DFT calculation (PBE) of crystalline Ho3ErIn2 at its relaxed geometry.

abc: 3.375 5.648 9.854
angles: 106.65 99.86 90.00
Fractional coordinates of all 6 atoms:
1 Ho 0.000 0.500 0.000
2 Ho 0.186 0.186 0.373
3 Er 0.000 0.000 0.000
4 In 0.646 0.646 0.292
5 Ho 0.814 0.814 0.627
6 In 0.354 0.354 0.708

Values from the calculation:
Theoretical density = 8.4 g/cm3
Crystal system = orthorhombic

We find entry 1 to be the most stable, with the next structure 45.9 kJ/mol of atoms higher.

Entry 1
The following is a DFT calculation (PBE) of crystalline LaHoErIn at its relaxed geometry.

abc: 5.464 5.464 5.468
angles: 119.98 119.98 90.00
Fractional coordinates of all 4 atoms:
1 Ho 0.500 0.500 0.000
2 In 0.250 0.750 0.500
3 Er 0.000 0.000 0.000
4 La 0.750 0.250 0.500

Values from the calculation:
Theoretical density = 8.4 g/cm3
Crystal system = cubic

Entry 2
The following is a DFT calculation (PBE) of crystalline LaHoErIn at its relaxed geometry.

abc: 5.525 5.525 5.525
angles: 60.00 60.00 60.00
Fractional coordinates of all 4 atoms:
1 La 0.000 0.000 0.000
2 In 0.750 0.750 0.750
3 Ho 0.250 0.250 0.250
4 Er 0.500 0.500 0.500

Values from the calculation:
Theoretical density = 8.2 g/cm3
Crystal system = cubic

We find entry 2 to be the most stable, with the next structure 6.3 kJ/mol of atoms higher.